Computed, not measured: an optimized crystal structure of TmSc2AlAu4 at the PBE-GGA level of DFT.

a b c (Å): 8.498 8.498 8.498
angles (deg): 32.45 32.45 32.45
Fractional positions:
Tm  0.000  0.000  0.000
Sc  0.244  0.244  0.244
Sc  0.756  0.756  0.756
Al  0.500  0.500  0.500
Au  0.124  0.124  0.124
Au  0.387  0.387  0.387
Au  0.613  0.613  0.613
Au  0.876  0.876  0.876

Symmetry ... No. 166
Energy relative to the elements ... -752 meV per atom
Total DFT energy (no corrections) ... -0.36755 Ry/atom
Calculated volume ... 157 Å³/cell